1.
CaSe2N2 | PBE | relaxed

abc: 4.363 4.363 4.292
angles: 90.00 90.00 90.00
Site moments in Bohr magnetons follow the coordinates.
Positions (direct):
1 Ca 0.500 0.500 0.500  0.01
2 Se 0.000 0.500 0.000  0.10
3 Se 0.500 0.000 0.000  0.10
4 N 0.000 0.000 0.000  -0.15
5 N 0.000 0.000 0.500  1.04

Values from the calculation:
formation energy (no corrections) = 4.066 eV per formula unit
energy relative to the lowest polymorph listed for this composition = 0.129 eV per atom
size of the total moment = 1.57 μB per formula unit

2.
PmEr3Mg | PBE | relaxed

abc: 3.651 6.695 12.776
angles: 86.72 90.01 74.17
Positions (direct):
1 Pm 0.235 0.530 0.761
2 Pm 0.765 0.470 0.239
3 Er 0.151 0.698 0.440
4 Er 0.366 0.267 0.022
5 Er 0.035 0.929 0.187
6 Er 0.849 0.302 0.560
7 Er 0.965 0.071 0.813
8 Er 0.634 0.733 0.978
9 Mg 0.556 0.887 0.622
10 Mg 0.444 0.113 0.378

Values from the calculation:
energy relative to the lowest polymorph listed for this composition = 0.000 eV per atom
formation energy from the elements = -1.31 kJ per mole of atoms
size of the total moment = 0.01 μB per formula unit

3.
SiMo2Au | PBE | relaxed

abc: 4.093 2.815 5.790
angles: 69.97 90.00 90.00
Positions (direct):
1 Au 0.500 0.750 0.750
2 Mo 0.000 0.044 0.030
3 Mo 0.000 0.456 0.470
4 Si 0.500 0.250 0.250

Values from the calculation:
formation energy (no corrections) = 0.280 eV per formula unit
size of the total moment = 0.00 μB per formula unit

4.
ErSc4Au5 | PBE | relaxed

abc: 3.424 3.424 17.332
angles: 90.00 90.00 90.00
Positions (direct):
1 Er 0.000 0.000 0.000
2 Sc 0.000 0.000 0.205
3 Sc 0.000 0.000 0.402
4 Sc 0.000 0.000 0.598
5 Sc 0.000 0.000 0.795
6 Au 0.500 0.500 0.110
7 Au 0.500 0.500 0.304
8 Au 0.500 0.500 0.500
9 Au 0.500 0.500 0.696
10 Au 0.500 0.500 0.890

Values from the calculation:
formation energy from the elements = -78.89 kJ per mole of atoms
size of the total moment = 0.00 μB per formula unit

5.
Ca2Be4AlSi3 | PBE | relaxed

abc: 3.902 3.902 9.966
angles: 90.00 90.00 90.00
Positions (direct):
1 Ca 0.500 0.000 0.241
2 Ca 0.000 0.500 0.759
3 Be 0.500 0.500 0.000
4 Be 0.000 0.000 0.000
5 Be 0.500 0.000 0.642
6 Be 0.000 0.500 0.358
7 Al 0.500 0.500 0.500
8 Si 0.000 0.000 0.500
9 Si 0.500 0.000 0.870
10 Si 0.000 0.500 0.130

Values from the calculation:
formation energy (no corrections) = -2.516 eV per formula unit
size of the total moment = 0.00 μB per formula unit

6.
Co3HgOs | PBE | relaxed

abc: 4.510 4.510 4.510
angles: 90.00 90.00 90.00
Site moments in Bohr magnetons follow the coordinates.
Positions (direct):
1 Co 0.000 0.500 0.000  1.15
2 Co 0.000 0.000 0.500  1.56
3 Co 0.500 0.000 0.000  0.81
4 Os 0.000 0.000 0.000  0.24
5 Hg 0.500 0.500 0.500  0.03

Values from the calculation:
energy relative to the lowest polymorph listed for this composition = 0.000 eV per atom
formation energy from the elements = 134.91 kJ per mole of atoms
size of the total moment = 3.82 μB per formula unit

7.
Y4RuSe3 | PBE | relaxed

abc: 4.000 7.199 7.199
angles: 107.71 90.00 90.00
Positions (direct):
1 Y 0.000 0.235 0.235
2 Y 0.500 0.771 0.229
3 Y 0.000 0.765 0.765
4 Y 0.500 0.229 0.771
5 Ru 0.500 0.000 0.000
6 Se 0.000 0.000 0.500
7 Se 0.500 0.500 0.500
8 Se 0.000 0.500 0.000

Values from the calculation:
formation energy (no corrections) = -10.991 eV per formula unit
size of the total moment = 0.00 μB per formula unit

8.
Nb2BRhO | PBE | relaxed

abc: 4.856 3.799 4.856
angles: 90.00 90.00 90.00
Positions (direct):
1 Nb 0.000 0.000 0.500
2 Nb 0.500 0.000 0.000
3 B 0.000 0.500 0.000
4 Rh 0.000 0.000 0.000
5 O 0.500 0.500 0.500

Values from the calculation:
formation energy (no corrections) = 5.456 eV per formula unit
size of the total moment = 0.00 μB per formula unit

9.
MgCo3Sn5 | PBE | relaxed

abc: 7.107 7.107 9.498
angles: 64.09 64.09 77.27
Site moments in Bohr magnetons follow the coordinates.
Positions (direct):
1 Mg 0.097 0.097 0.686  -0.01
2 Mg 0.903 0.903 0.314  -0.01
3 Co 0.669 0.669 0.832  0.50
4 Co 0.659 0.659 0.332  0.44
5 Co 0.000 0.000 0.000  0.56
6 Co 0.000 0.000 0.500  0.43
7 Co 0.331 0.331 0.168  0.50
8 Co 0.341 0.341 0.668  0.44
9 Sn 0.942 0.382 0.337  -0.02
10 Sn 0.280 0.720 0.000  -0.02
11 Sn 0.767 0.767 0.015  -0.02
12 Sn 0.419 0.419 0.361  -0.02
13 Sn 0.581 0.581 0.639  -0.02
14 Sn 0.233 0.233 0.985  -0.02
15 Sn 0.382 0.942 0.337  -0.02
16 Sn 0.720 0.280 0.000  -0.02
17 Sn 0.058 0.618 0.663  -0.02
18 Sn 0.618 0.058 0.663  -0.02

Values from the calculation:
formation energy from the elements = -0.25 kJ per mole of atoms
size of the total moment = 1.26 μB per formula unit

10.
TaCoRuPt | PBE | relaxed

abc: 3.773 3.809 3.971
angles: 90.00 90.00 90.00
Positions (direct):
1 Ta 0.000 0.500 0.500
2 Co 0.500 0.500 0.000
3 Ru 0.500 0.000 0.500
4 Pt 0.000 0.000 0.000

Values from the calculation:
formation energy from the elements = -42.29 kJ per mole of atoms
size of the total moment = 0.00 μB per formula unit

11.
Sm3PaTl4Se8 | PBE | relaxed

abc: 8.479 9.230 8.479
angles: 117.35 120.00 90.00
Site moments in Bohr magnetons follow the coordinates.
Positions (direct):
1 Sm 0.500 0.500 0.000  0.09
2 Sm 0.500 0.500 0.500  0.09
3 Sm 0.000 0.500 0.500  0.09
4 Pa 0.000 0.500 0.000  1.29
5 Tl 0.500 0.000 0.000  0.00
6 Tl 0.500 0.000 0.500  0.01
7 Tl 0.000 0.000 0.000  0.01
8 Tl 0.000 0.000 0.500  0.01
9 Se 0.233 0.709 0.976  -0.01
10 Se 0.233 0.709 0.466  -0.01
11 Se 0.264 0.291 0.527  0.00
12 Se 0.743 0.709 0.976  -0.01
13 Se 0.257 0.291 0.024  -0.01
14 Se 0.736 0.709 0.473  0.00
15 Se 0.767 0.291 0.534  -0.01
16 Se 0.767 0.291 0.024  -0.01

Values from the calculation:
formation energy (no corrections) = -20.193 eV per formula unit
size of the total moment = 2.04 μB per formula unit